Entry 1:
Material: TbSmIrPt
Method: DFT, GGA-PBE
State: relaxed

## Properties
- energy of formation from the pure elements (eV/atom) = -0.9364
- E above lowest polymorph (meV per atom) = 37
- total moment (μB per formula unit) = 0.00
- calculated volume (A^3/atom) = 21.54

a = 4.957 Å, b = 4.957 Å, c = 4.957 Å
α = 60.00°, β = 60.00°, γ = 60.00°
Sites, in units of the cell vectors:
Ir  0.250  0.250  0.250
Tb  0.000  0.000  0.000
Sm  0.500  0.500  0.500
Pt  0.750  0.750  0.750

---

Entry 2:
Material: ZnFe2SbPd
Method: DFT, GGA-PBE
State: relaxed

## Properties
- energy relative to the elements, uncorrected (eV/atom) = 0.76
- total moment (μB per formula unit) = 6.56
- calculated volume (A^3/atom) = 20.82

a = 4.716 Å, b = 4.681 Å, c = 4.716 Å
α = 90.00°, β = 90.00°, γ = 90.00°
Site moments in Bohr magnetons follow the coordinates.
Sites, in units of the cell vectors:
Sb  0.500  0.500  0.500  -0.04
Zn  0.000  0.500  0.000  -0.03
Fe  0.000  0.000  0.500  3.49
Fe  0.500  0.000  0.000  2.79
Pd  0.000  0.000  0.000  0.28

---

Entry 3:
Material: LiTl2Pt
Method: DFT, GGA-PBE
State: relaxed

## Properties
- energy of formation from the pure elements (eV/atom) = -0.0823
- total moment (μB per formula unit) = 0.00
- calculated volume (A^3/atom) = 21.11

a = 4.924 Å, b = 4.924 Å, c = 4.924 Å
α = 60.00°, β = 60.00°, γ = 60.00°
Sites, in units of the cell vectors:
Li  0.500  0.500  0.500
Pt  0.750  0.750  0.750
Tl  0.000  0.000  0.000
Tl  0.250  0.250  0.250